VASP calculation (PBE) on a relaxed ZrIn2I8 crystal.

POSCAR file:
```
ZrIn2I8
1.0
7.039 -5.503 0.000
7.039 5.503 0.000
-1.753 0.000 7.486
Zr In I
1 2 8
Cartesian
0.000 0.000 0.000 Zr
1.492 0.000 4.802 In
10.832 0.000 2.684 In
5.671 3.500 1.532 I
2.251 0.000 1.879 I
6.654 3.500 5.954 I
3.963 0.000 6.063 I
8.362 0.000 1.423 I
5.671 -3.500 1.532 I
10.074 0.000 5.607 I
6.654 -3.500 5.954 I
```

Calculated values
The formation energy from raw total energies is -599 meV per atom. The calculation puts the density of states at the Fermi level at 1.25 states/eV/f.u.